[1]
The following is a DFT calculation (PBE) of a relaxed K3ZrMn2Se6 crystal.

Unit cell a=7.0483 b=11.6651 c=7.9719 alpha=90.00 beta=107.69 gamma=90.00
Space group C2/m (No. 12)
One atom of each set of equivalent atoms:
1 K 0.0000 0.0000 0.0000
2 K 0.0000 0.3362 0.0000
3 Zr 0.0000 0.5000 0.5000
4 Mn 0.0000 0.1701 0.5000
5 Se 0.2188 0.0000 0.6817
6 Se 0.2224 0.3298 0.6950

Computed properties:
Formation energy from raw total energies ... -970 meV per atom



[2]
The following is a DFT calculation (PBE) of a relaxed Sm4Tl2InHg crystal.

Unit cell a=5.4307 b=5.4307 c=26.6137 alpha=90.00 beta=90.00 gamma=120.00
Space group R-3m (No. 166, hexagonal axes)
One atom of each set of equivalent atoms:
1 Sm 0.0000 0.0000 0.1239
2 Sm 0.0000 0.0000 0.3740
3 Tl 0.0000 0.0000 0.2507
4 In 0.0000 0.0000 0.5000
5 Hg 0.0000 0.0000 0.0000

Computed properties:
DFT formation energy ... -0.43 eV/atom



[3]
The following is a DFT calculation (PBE) of a relaxed Nd2Sm3Y8 crystal.

Unit cell a=14.8968 b=9.1352 c=6.7979 alpha=90.00 beta=98.83 gamma=90.00
Space group C2/m (No. 12)
One atom of each set of equivalent atoms:
1 Nd 0.2021 0.0000 0.2735
2 Sm 0.0000 0.0000 0.5000
3 Sm 0.0000 0.1703 0.0000
4 Y 0.0852 0.5000 0.8749
5 Y 0.1117 0.3206 0.4300
6 Y 0.2078 0.0000 0.7800

Computed properties:
Energy above the most stable polymorph in this dataset ... 12 meV per atom
DFT formation energy ... 0.26 eV/atom



[4]
The following is a DFT calculation (PBE) of a relaxed Co2PPt crystal.

Unit cell a=3.6769 b=3.6769 c=7.3407 alpha=90.00 beta=90.00 gamma=90.00
Space group I4/mmm (No. 139)
One atom of each set of equivalent atoms:
1 Co 0.0000 0.5000 0.2500
2 P 0.0000 0.0000 0.0000
3 Pt 0.0000 0.0000 0.5000

Computed properties:
DFT formation energy ... 0.00 eV/atom



[5]
The following is a DFT calculation (PBE) of a relaxed PmZnGa6 crystal.

Unit cell a=4.2835 b=4.2835 c=8.7005 alpha=90.00 beta=90.00 gamma=90.00
Space group P4/mmm (No. 123)
One atom of each set of equivalent atoms:
1 Pm 0.0000 0.0000 0.0000
2 Zn 0.0000 0.0000 0.5000
3 Ga 0.0000 0.5000 0.3221
4 Ga 0.5000 0.5000 0.1432

Computed properties:
Energy above the most stable polymorph in this dataset ... 0 meV per atom
DFT formation energy ... -0.21 eV/atom



[6]
The following is a DFT calculation (PBE) of a relaxed TaGaFeRh crystal.

Unit cell a=6.1093 b=6.1093 c=6.1093 alpha=90.00 beta=90.00 gamma=90.00
Space group F-43m (No. 216)
One atom of each set of equivalent atoms:
1 Ta 0.0000 0.0000 0.0000
2 Ga 0.0000 0.0000 0.5000
3 Fe 0.2500 0.2500 0.2500
4 Rh 0.2500 0.2500 0.7500

Computed properties:
DFT formation energy ... -0.40 eV/atom



[7]
The following is a DFT calculation (PBE) of a relaxed UReMo crystal.

Unit cell a=4.5588 b=4.5588 c=2.8356 alpha=90.00 beta=90.00 gamma=120.00
Space group P3m1 (No. 156)
One atom of each set of equivalent atoms:
1 U 0.0000 0.0000 0.0000
2 Re 0.6667 0.3333 0.2857
3 Mo 0.3333 0.6667 0.7556

Computed properties:
Energy above the most stable polymorph in this dataset ... 160 meV per atom
DFT formation energy ... 0.23 eV/atom



[8]
The following is a DFT calculation (PBE) of a relaxed ScGeSb2I crystal.

Unit cell a=5.3351 b=5.3351 c=5.5420 alpha=90.00 beta=90.00 gamma=90.00
Space group P4/mmm (No. 123)
One atom of each set of equivalent atoms:
1 Sc 0.0000 0.0000 0.0000
2 Ge 0.5000 0.5000 0.5000
3 Sb 0.0000 0.5000 0.5000
4 I 0.5000 0.5000 0.0000

Computed properties:
Formation energy from raw total energies ... 407 meV per atom
Energy above the most stable polymorph in this dataset ... 111 meV per atom



[9]
The following is a DFT calculation (PBE) of a relaxed Y3Se crystal.

Unit cell a=4.5203 b=4.5203 c=10.6792 alpha=90.00 beta=90.00 gamma=90.00
Space group I4/mmm (No. 139)
One atom of each set of equivalent atoms:
1 Y 0.0000 0.0000 0.0000
2 Y 0.0000 0.5000 0.2500
3 Se 0.0000 0.0000 0.5000

Computed properties:
Formation energy from raw total energies ... -370 meV per atom
Energy above the most stable polymorph in this dataset ... 452 meV per atom



[10]
The following is a DFT calculation (PBE) of a relaxed CaNiGe2 crystal.

Unit cell a=7.1247 b=4.0665 c=10.4877 alpha=90.00 beta=90.00 gamma=90.00
Space group Pnma (No. 62)
One atom of each set of equivalent atoms:
1 Ca 0.1615 0.2500 0.1295
2 Ni 0.0005 0.2500 0.6370
3 Ge 0.1534 0.2500 0.4348
4 Ge 0.1610 0.2500 0.8309

Computed properties:
DFT formation energy ... -0.51 eV/atom



[11]
The following is a DFT calculation (PBE) of a relaxed PmAl2SiPd2 crystal.

Unit cell a=4.5769 b=4.5769 c=5.6148 alpha=90.00 beta=90.00 gamma=90.00
Space group P4/mmm (No. 123)
One atom of each set of equivalent atoms:
1 Pm 0.0000 0.0000 0.0000
2 Al 0.5000 0.5000 0.2347
3 Si 0.0000 0.0000 0.5000
4 Pd 0.0000 0.5000 0.5000

Computed properties:
Formation energy from raw total energies ... -549 meV per atom



[12]
The following is a DFT calculation (PBE) of a relaxed PtRh2 crystal.

Unit cell a=2.7213 b=3.9301 c=17.9928 alpha=90.00 beta=90.00 gamma=90.00
Space group Imma (No. 74)
One atom of each set of equivalent atoms:
1 Pt 0.0000 0.2500 0.1183
2 Rh 0.0000 0.2500 0.5445
3 Rh 0.0000 0.2500 0.6902

Computed properties:
Energy above the most stable polymorph in this dataset ... 263 meV per atom
DFT formation energy ... 0.24 eV/atom



Number 1: raw total energy -5.227 eV per atom, DOS at the Fermi energy 3.6 states/eV/f.u.. Number 2: raw total energy -3.758 eV per atom, DOS at the Fermi energy 9.3 states/eV/f.u.. Number 3: raw total energy -5.542 eV per atom, DOS at the Fermi energy 20.9 states/eV/f.u.. Number 4: raw total energy -6.412 eV per atom, DOS at the Fermi energy 3.8 states/eV/f.u.. Number 5: raw total energy -3.237 eV per atom, DOS at the Fermi energy 4.0 states/eV/f.u.. Number 6: raw total energy -8.075 eV per atom, DOS at the Fermi energy 2.1 states/eV/f.u.. Number 7: raw total energy -11.294 eV per atom, DOS at the Fermi energy 4.3 states/eV/f.u.. Number 8: raw total energy -3.742 eV per atom, DOS at the Fermi energy 3.6 states/eV/f.u.. Number 9: raw total energy -6.089 eV per atom, DOS at the Fermi energy 6.0 states/eV/f.u.. Number 10: raw total energy -4.764 eV per atom, DOS at the Fermi energy 1.5 states/eV/f.u.. Number 11: raw total energy -5.223 eV per atom, DOS at the Fermi energy 3.1 states/eV/f.u.. Number 12: raw total energy -6.677 eV per atom, DOS at the Fermi energy 4.0 states/eV/f.u..